The following is a PBE calculation of crystalline La8RuPt3Br4 at its relaxed geometry, from Alexandria via LeMat-Bulk.

```
16
Lattice="4.255 2.457 7.880 -4.255 2.457 7.880 0.000 -4.914 7.880" Properties=species:S:1:pos:R:3 pbc="T T T"
La 0.000 0.000 5.500
La -2.066 -1.193 13.381
La 0.000 -2.385 10.260
La -2.066 1.193 10.260
La 2.066 -1.193 13.381
La 0.000 2.385 13.381
La 2.066 1.193 10.260
La 0.000 0.000 18.141
Ru 0.000 0.000 11.821
Pt -4.255 0.000 11.821
Pt -2.128 1.228 3.940
Pt 2.128 1.228 3.940
Br 0.000 0.000 0.000
Br -2.128 -1.228 7.880
Br -2.128 1.228 15.761
Br 0.000 2.457 7.880
```

Computed properties:
formation energy without anion corrections: -1.267 eV/atom
SG: R-3m
density of states at the Fermi level: 0.607 states/eV per atom


The following is a PBE calculation of crystalline Hf4ZrN at its relaxed geometry, from Alexandria via LeMat-Bulk.

```
12
Lattice="2.855 -5.378 0.000 2.855 5.378 0.000 -2.033 0.000 7.550" Properties=species:S:1:pos:R:3 pbc="T T T"
Hf -0.186 1.265 3.410
Hf -0.039 1.803 6.407
Hf -1.202 -1.265 7.185
Hf 0.977 -1.803 2.632
Hf 2.699 1.803 4.918
Hf 4.879 1.265 0.365
Hf 3.716 -1.803 1.143
Hf 3.862 -1.265 4.140
Zr 2.347 0.904 1.888
Zr 1.330 -0.904 5.663
N 2.347 5.024 1.888
N 1.330 -5.024 5.663
```

Computed properties:
formation energy without anion corrections: -0.319 eV/atom
SG: C2/c
density of states at the Fermi level: 1.372 states/eV per atom


The following is a PBE calculation of crystalline Rb3UGa2O8 at its relaxed geometry, from Alexandria via LeMat-Bulk.

```
14
Lattice="5.991 0.000 0.000 -2.996 5.188 0.000 0.000 0.000 8.177" Properties=species:S:1:pos:R:3 pbc="T T T"
Rb 0.000 0.000 0.000
Rb 0.000 3.459 5.851
Rb 2.996 1.729 2.325
U 0.000 0.000 4.088
Ga 0.000 3.459 2.175
Ga 2.996 1.729 6.002
O 0.000 1.710 2.881
O -1.515 4.333 2.881
O 1.481 0.855 5.296
O 0.000 3.459 0.368
O 2.996 1.729 7.809
O 1.515 4.333 2.881
O 4.510 0.855 5.296
O 2.996 3.478 5.296
```

Computed properties:
formation energy without anion corrections: -2.039 eV/atom
SG: P-3m1
density of states at the Fermi level: 0.344 states/eV per atom


The following is a PBE calculation of crystalline HoTm3Co at its relaxed geometry, from Alexandria via LeMat-Bulk.

```
10
Lattice="3.583 -5.004 0.000 3.583 5.004 0.000 0.000 0.000 7.727" Properties=species:S:1:pos:R:3 pbc="T T T"
Ho 3.583 2.605 5.795
Ho 3.583 -2.605 1.932
Tm 3.583 2.601 1.932
Tm 1.833 0.000 0.000
Tm 1.833 0.000 3.863
Tm 5.334 0.000 0.000
Tm 5.334 0.000 3.863
Tm 3.583 -2.601 5.795
Co 3.583 0.004 1.932
Co 3.583 -0.004 5.795
```

Computed properties:
SG: Cmcm
density of states at the Fermi level: 1.106 states/eV per atom
DFT total energy: -51.050 eV for the cell shown


The following is a PBE calculation of crystalline ZrCd2Pt at its relaxed geometry, from Alexandria via LeMat-Bulk.

```
12
Lattice="3.049 0.000 0.000 -1.525 2.641 0.000 0.000 0.000 30.237" Properties=species:S:1:pos:R:3 pbc="T T T"
Zr 0.000 0.000 0.000
Zr 0.000 1.761 20.158
Zr 1.525 0.880 10.079
Cd 0.000 0.000 7.418
Cd 0.000 0.000 14.697
Cd 0.000 1.761 4.618
Cd 0.000 1.761 27.576
Cd 1.525 0.880 17.497
Cd 1.525 0.880 24.776
Pt 0.000 0.000 22.393
Pt 0.000 1.761 12.314
Pt 1.525 0.880 2.235
```

Computed properties:
SG: R3m
density of states at the Fermi level: 0.934 states/eV per atom
DFT total energy: -51.765 eV for the cell shown


The following is a PBE calculation of crystalline TbNd4Tl at its relaxed geometry, from Alexandria via LeMat-Bulk.

```
6
Lattice="4.193 0.000 0.000 0.000 4.193 0.000 0.000 0.000 11.175" Properties=species:S:1:pos:R:3 pbc="T T T"
Tb 0.000 0.000 0.000
Nd 0.000 0.000 3.935
Nd 0.000 0.000 7.241
Nd 2.096 2.096 1.857
Nd 2.096 2.096 9.318
Tl 2.096 2.096 5.588
```

Computed properties:
SG: P4/mmm
density of states at the Fermi level: 1.825 states/eV per atom
DFT total energy: -26.324 eV for the cell shown


The following is a PBE calculation of crystalline TeClF2 at its relaxed geometry, from Alexandria via LeMat-Bulk.

```
12
Lattice="3.319 0.000 0.000 -1.660 2.875 0.000 0.000 0.000 23.591" Properties=species:S:1:pos:R:3 pbc="T T T"
Te 0.000 0.000 0.000
Te 0.000 1.916 15.727
Te 1.660 0.958 7.864
Cl 0.000 0.000 11.796
Cl 0.000 1.916 3.932
Cl 1.660 0.958 19.659
F 0.000 0.000 9.874
F 0.000 0.000 13.717
F 0.000 1.916 2.010
F 0.000 1.916 5.854
F 1.660 0.958 17.738
F 1.660 0.958 21.581
```

Computed properties:
formation energy without anion corrections: -0.426 eV/atom
SG: R-3m
density of states at the Fermi level: 0.635 states/eV per atom


The following is a PBE calculation of crystalline Cs2GeI5 at its relaxed geometry, from Alexandria via LeMat-Bulk.

```
16
Lattice="8.681 0.000 0.000 0.000 8.681 0.000 0.000 0.000 11.002" Properties=species:S:1:pos:R:3 pbc="T T T"
Cs 0.000 4.340 0.000
Cs 0.000 4.340 5.501
Cs 4.340 0.000 0.000
Cs 4.340 0.000 5.501
Ge 0.000 0.000 2.300
Ge 4.340 4.340 7.802
I 0.000 0.000 10.643
I 2.009 2.009 2.777
I 2.009 6.672 2.777
I 2.332 2.332 8.278
I 2.332 6.349 8.278
I 4.340 4.340 5.142
I 6.349 2.332 8.278
I 6.349 6.349 8.278
I 6.672 2.009 2.777
I 6.672 6.672 2.777
```

Computed properties:
formation energy without anion corrections: -0.884 eV/atom
SG: I4mm
density of states at the Fermi level: 0.594 states/eV per atom


The following is a PBE calculation of crystalline Hf9H2N4 at its relaxed geometry, from Alexandria via LeMat-Bulk.

```
30
Lattice="4.848 -2.799 0.000 4.848 2.799 0.000 -0.003 0.000 15.633" Properties=species:S:1:pos:R:3 pbc="T T T"
Hf 3.152 0.981 3.908
Hf 4.846 1.957 11.724
Hf 4.826 1.939 1.306
Hf 3.179 0.988 9.122
Hf 3.155 0.950 14.326
Hf 4.868 1.939 6.510
Hf 3.156 -0.950 6.510
Hf 6.513 0.988 14.327
Hf 3.150 -0.981 11.725
Hf 6.543 0.981 3.908
Hf 3.180 -0.988 1.306
Hf 6.537 0.950 9.122
Hf 4.825 -1.939 9.123
Hf 6.538 -0.950 1.306
Hf 6.515 -0.988 6.510
Hf 4.867 -1.939 14.326
Hf 4.847 -1.957 3.908
Hf 6.542 -0.981 11.724
H 4.847 0.004 2.567
H 4.848 0.004 5.249
H 4.845 -0.004 10.384
H 4.847 -0.004 13.065
N 1.615 0.001 5.151
N 1.614 -0.001 12.968
N 1.616 0.000 0.055
N 1.614 0.000 7.871
N 8.079 0.000 7.761
N 8.077 0.000 15.578
N 8.080 0.001 2.665
N 8.078 -0.001 10.481
```

Computed properties:
SG: C2/c
density of states at the Fermi level: 0.503 states/eV per atom
DFT total energy: -290.679 eV for the cell shown


The following is a PBE calculation of crystalline NaBP2 at its relaxed geometry, from Alexandria via LeMat-Bulk.

```
16
Lattice="4.958 0.000 0.000 0.000 4.958 0.000 0.000 0.000 11.859" Properties=species:S:1:pos:R:3 pbc="T T T"
Na 0.000 0.000 0.000
Na 0.000 2.479 2.965
Na 2.479 0.000 8.894
Na 2.479 2.479 5.929
B 0.000 0.000 5.929
B 0.000 2.479 8.894
B 2.479 0.000 2.965
B 2.479 2.479 0.000
P 0.421 1.240 7.412
P 1.240 2.900 10.377
P 1.240 4.538 4.447
P 2.059 1.240 1.482
P 2.900 3.719 1.482
P 3.719 0.421 4.447
P 3.719 2.059 10.377
P 4.538 3.719 7.412
```

Computed properties:
SG: I-42d
density of states at the Fermi level: 0.064 states/eV per atom
DFT total energy: -72.856 eV for the cell shown


The following is a PBE calculation of crystalline YSi3 at its relaxed geometry, from Alexandria via LeMat-Bulk.

```
8
Lattice="8.881 0.000 0.000 0.000 3.595 0.000 -1.504 0.000 4.650" Properties=species:S:1:pos:R:3 pbc="T T T"
Y 0.000 0.000 0.000
Y 4.440 1.798 0.000
Si -0.752 1.798 2.325
Si 1.028 0.000 3.039
Si 1.909 1.798 1.611
Si 3.688 0.000 2.325
Si 5.468 1.798 3.039
Si 6.349 0.000 1.611
```

Computed properties:
formation energy without anion corrections: -0.264 eV/atom
SG: C2/m
density of states at the Fermi level: 0.477 states/eV per atom


The following is a PBE calculation of crystalline Li2Zn3Au3 at its relaxed geometry, from Alexandria via LeMat-Bulk.

```
16
Lattice="2.135 -4.657 0.000 2.135 4.657 0.000 0.000 0.000 13.193" Properties=species:S:1:pos:R:3 pbc="T T T"
Li 2.135 2.551 8.186
Li 2.135 2.551 11.603
Li 2.135 -2.551 1.590
Li 2.135 -2.551 5.007
Zn 2.135 0.863 0.934
Zn 2.135 0.863 5.663
Zn 2.135 0.469 9.895
Zn 2.135 -0.469 3.298
Zn 2.135 -0.863 7.530
Zn 2.135 -0.863 12.260
Au 2.135 3.679 0.976
Au 2.135 3.679 5.620
Au 2.135 2.167 3.298
Au 2.135 -2.167 9.895
Au 2.135 -3.679 7.573
Au 2.135 -3.679 12.217
```

Computed properties:
SG: Cmcm
density of states at the Fermi level: 0.278 states/eV per atom
DFT total energy: -39.777 eV for the cell shown


- Which value of density of states at the Fermi level does entry 9 give?
  0.503 states/eV per atom


- Which value of density of states at the Fermi level does entry 10 give?
  0.064 states/eV per atom